An optimized crystal structure of PuHfNp2As4, computed with PBE.

```
data_PuHfNp2As4
_symmetry_space_group_name_H-M 'P 1'
_symmetry_Int_Tables_number 1
_cell_length_a 6.994
_cell_length_b 4.017
_cell_length_c 6.998
_cell_angle_alpha 90.00
_cell_angle_beta 109.14
_cell_angle_gamma 90.00
loop_
_symmetry_equiv_pos_as_xyz
'x,y,z'
loop_
_atom_site_label
_atom_site_type_symbol
_atom_site_fract_x
_atom_site_fract_y
_atom_site_fract_z
Pu1 Pu 0.000 0.000 0.000
Hf1 Hf 0.500 0.500 0.000
Np1 Np 0.000 0.500 0.500
Np2 Np 0.500 0.000 0.500
As1 As 0.259 0.500 0.243
As2 As 0.263 0.000 0.762
As3 As 0.737 0.000 0.238
As4 As 0.741 0.500 0.757
```

Computed properties:
Total moment (μB/atom): 0.636
Theoretical density (g/cm3): 10.69
DOS(E_F) (states/eV per cell): 25.46
Space-group type: P2/m
Calculated formation energy (eV per atom): -0.847